# CeMg4Cd (PBE, relaxed)
# * ΔE to the lowest computed polymorph: 2.385 kcal/mol of atoms
# * electronic total energy: -2.131 eV/atom
data_CeMg4Cd
_cell_length_a 8.452
_cell_length_b 8.452
_cell_length_c 8.452
_cell_angle_alpha 90.00
_cell_angle_beta 90.00
_cell_angle_gamma 90.00
_symmetry_space_group_name_H-M 'F -4 3 m'
_symmetry_Int_Tables_number 216
_symmetry_space_group_name_Hall 'F -4 2 3'
loop_
_atom_site_label
_atom_site_type_symbol
_atom_site_fract_x
_atom_site_fract_y
_atom_site_fract_z
_atom_site_occupancy
Ce1 Ce 0.000 0.000 0.000 1
Mg1 Mg 0.125 0.125 0.375 1
Cd1 Cd 0.250 0.250 0.750 1

---

# CeMg14Cd (PBE, relaxed)
# * ΔE to the lowest computed polymorph: 0.000 kcal/mol of atoms
# * electronic total energy: -1.809 eV/atom
data_CeMg14Cd
_cell_length_a 10.321
_cell_length_b 6.462
_cell_length_c 11.397
_cell_angle_alpha 90.00
_cell_angle_beta 90.00
_cell_angle_gamma 90.00
_symmetry_space_group_name_H-M 'A m m 2'
_symmetry_Int_Tables_number 38
loop_
_symmetry_equiv_pos_as_xyz
'x,y,z'
'-x,-y,z'
'-x,y,z'
'x,-y,z'
'x,y+1/2,z+1/2'
'-x,-y+1/2,z+1/2'
'-x,y+1/2,z+1/2'
'x,-y+1/2,z+1/2'
loop_
_atom_site_label
_atom_site_type_symbol
_atom_site_fract_x
_atom_site_fract_y
_atom_site_fract_z
_atom_site_occupancy
Ce1 Ce 0.000 0.000 0.000 1
Mg1 Mg 0.000 0.241 0.252 1
Mg2 Mg 0.233 0.000 0.654 1
Mg3 Mg 0.254 0.249 0.907 1
Mg4 Mg 0.257 0.000 0.160 1
Mg5 Mg 0.500 0.000 0.493 1
Mg6 Mg 0.500 0.000 0.993 1
Mg7 Mg 0.500 0.245 0.741 1
Cd1 Cd 0.000 0.000 0.483 1

---

# Ce2MgCd (PBE, relaxed)
# * electronic total energy: -3.603 eV/atom
data_Ce2MgCd
_cell_length_a 4.045
_cell_length_b 4.045
_cell_length_c 6.795
_cell_angle_alpha 90.00
_cell_angle_beta 90.00
_cell_angle_gamma 90.00
_symmetry_space_group_name_H-M 'P 4/m m m'
_symmetry_Int_Tables_number 123
_symmetry_space_group_name_Hall '-P 4 2'
loop_
_atom_site_label
_atom_site_type_symbol
_atom_site_fract_x
_atom_site_fract_y
_atom_site_fract_z
_atom_site_occupancy
Ce1 Ce 0.000 0.000 0.247 1
Mg1 Mg 0.500 0.500 0.500 1
Cd1 Cd 0.500 0.500 0.000 1

---

# Ce2MgCd (PBE, relaxed)
# * electronic total energy: -3.682 eV/atom
data_Ce2MgCd
_cell_length_a 4.390
_cell_length_b 4.390
_cell_length_c 5.151
_cell_angle_alpha 90.00
_cell_angle_beta 90.00
_cell_angle_gamma 90.00
_symmetry_space_group_name_H-M 'P 4/m m m'
_symmetry_Int_Tables_number 123
_symmetry_space_group_name_Hall '-P 4 2'
loop_
_atom_site_label
_atom_site_type_symbol
_atom_site_fract_x
_atom_site_fract_y
_atom_site_fract_z
_atom_site_occupancy
Ce1 Ce 0.000 0.500 0.000 1
Mg1 Mg 0.000 0.000 0.500 1
Cd1 Cd 0.500 0.500 0.500 1

---

# CeMg3Cd2 (PBE, relaxed)
# * ΔE to the lowest computed polymorph: 0.000 kcal/mol of atoms
# * electronic total energy: -2.222 eV/atom
data_CeMg3Cd2
_cell_length_a 4.9664
_cell_length_b 4.9664
_cell_length_c 13.6634
_cell_angle_alpha 90.00
_cell_angle_beta 90.00
_cell_angle_gamma 120.00
_symmetry_space_group_name_H-M 'P 63/m m c'
_symmetry_Int_Tables_number 194
_symmetry_space_group_name_Hall '-P 6c 2c'
loop_
_atom_site_label
_atom_site_type_symbol
_atom_site_fract_x
_atom_site_fract_y
_atom_site_fract_z
_atom_site_occupancy
Ce1 Ce 0.0000 0.0000 0.2500 1
Mg1 Mg 0.0000 0.0000 0.0000 1
Mg2 Mg 0.3333 0.6667 0.1039 1
Cd1 Cd 0.3333 0.6667 0.6299 1

---

# CeMgCd2 (PBE, relaxed)
# * electronic total energy: -2.436 eV/atom
data_CeMgCd2
_cell_length_a 5.108
_cell_length_b 5.108
_cell_length_c 3.950
_cell_angle_alpha 90.00
_cell_angle_beta 90.00
_cell_angle_gamma 90.00
_symmetry_space_group_name_H-M 'P 4/m m m'
_symmetry_Int_Tables_number 123
_symmetry_space_group_name_Hall '-P 4 2'
loop_
_atom_site_label
_atom_site_type_symbol
_atom_site_fract_x
_atom_site_fract_y
_atom_site_fract_z
_atom_site_occupancy
Ce1 Ce 0.000 0.000 0.000 1
Mg1 Mg 0.500 0.500 0.000 1
Cd1 Cd 0.000 0.500 0.500 1

---

# Ce2Mg3Cd4 (PBE, relaxed)
# * ΔE to the lowest computed polymorph: 0.000 kcal/mol of atoms
# * electronic total energy: -2.413 eV/atom
data_Ce2Mg3Cd4
_cell_length_a 8.969
_cell_length_b 5.116
_cell_length_c 9.779
_cell_angle_alpha 90.00
_cell_angle_beta 92.16
_cell_angle_gamma 90.00
_symmetry_space_group_name_H-M 'C 1 2/m 1'
_symmetry_Int_Tables_number 12
loop_
_symmetry_equiv_pos_as_xyz
'x,y,z'
'-x,-y,-z'
'-x,y,-z'
'x,-y,z'
'x+1/2,y+1/2,z'
'-x+1/2,-y+1/2,-z'
'-x+1/2,y+1/2,-z'
'x+1/2,-y+1/2,z'
loop_
_atom_site_label
_atom_site_type_symbol
_atom_site_fract_x
_atom_site_fract_y
_atom_site_fract_z
_atom_site_occupancy
Ce1 Ce 0.174 0.000 0.215 1
Mg1 Mg 0.000 0.500 0.000 1
Mg2 Mg 0.157 0.000 0.575 1
Cd1 Cd 0.014 0.500 0.351 1
Cd2 Cd 0.163 0.000 0.895 1

---

# Ce3MgCd2 (PBE, relaxed)
# * electronic total energy: -3.568 eV/atom
data_Ce3MgCd2
_cell_length_a 9.644
_cell_length_b 10.988
_cell_length_c 6.134
_cell_angle_alpha 90.00
_cell_angle_beta 103.12
_cell_angle_gamma 90.00
_symmetry_space_group_name_H-M 'C 1 2/c 1'
_symmetry_Int_Tables_number 15
loop_
_symmetry_equiv_pos_as_xyz
'x,y,z'
'-x,-y,-z'
'-x,y,-z+1/2'
'x,-y,z+1/2'
'x+1/2,y+1/2,z'
'-x+1/2,-y+1/2,-z'
'-x+1/2,y+1/2,-z+1/2'
'x+1/2,-y+1/2,z+1/2'
loop_
_atom_site_label
_atom_site_type_symbol
_atom_site_fract_x
_atom_site_fract_y
_atom_site_fract_z
_atom_site_occupancy
Ce1 Ce 0.000 0.204 0.250 1
Ce2 Ce 0.171 0.015 0.425 1
Mg1 Mg 0.000 0.492 0.750 1
Cd1 Cd 0.161 0.265 0.767 1